Density functional theory data (GGA-PBE) for BeNiAu2 after structural relaxation.

* crystal system: monoclinic
* symmetry: Cm, No. 8

a b c (Å): 5.1646 5.1646 4.3313
angles (deg): 114.67 114.67 31.83
With the nearest neighbours (Å) after each atom.
Positions (direct):
1 Be 0.0000 0.0000 0.0000  2 Ni 2.24, 2 Au 2.44
2 Ni 0.3065 0.3065 0.8071  2 Be 2.24
3 Au 0.5118 0.5118 0.5125  4 Be 2.59, 4 Au 2.83-2.87, 2 Ni 2.84
4 Au 0.7221 0.7221 0.2227  2 Be 2.44, 4 Ni 2.69-2.70


Density functional theory data (GGA-PBE) for Be2Ni2Au after structural relaxation.

* crystal system: tetragonal
* symmetry: P4/mbm, No. 127
* energy above the lowest structure with this stoichiometry: 0.0000 eV per atom

a b c (Å): 6.3645 6.3645 2.6922
angles (deg): 90.00 90.00 90.00
With the nearest neighbours (Å) after each atom.
Positions (direct):
1 Be 0.1311 0.3689 0.0000  6 Ni 2.27-2.35, 1 Be 2.36, 2 Au 2.49
2 Be 0.3689 0.8689 0.0000  6 Ni 2.27-2.35, 1 Be 2.36, 2 Au 2.49
3 Be 0.6311 0.1311 0.0000  6 Ni 2.27-2.35, 1 Be 2.36, 2 Au 2.49
4 Be 0.8689 0.6311 0.0000  6 Ni 2.27-2.35, 1 Be 2.36, 2 Au 2.49
5 Ni 0.1545 0.6545 0.5000  6 Be 2.27-2.35
6 Ni 0.3455 0.1545 0.5000  6 Be 2.27-2.35
7 Ni 0.6545 0.8455 0.5000  6 Be 2.27-2.35
8 Ni 0.8455 0.3455 0.5000  6 Be 2.27-2.35
9 Au 0.0000 0.0000 0.0000  4 Be 2.49, 2 Au 2.69, 8 Ni 2.76
10 Au 0.5000 0.5000 0.0000  4 Be 2.49, 2 Au 2.69, 8 Ni 2.76


Density functional theory data (GGA-PBE) for Be2NiAu after structural relaxation.

* crystal system: trigonal
* symmetry: R-3m, No. 166

a b c (Å): 7.4865 7.4865 7.4865
angles (deg): 21.08 21.08 21.08
With the nearest neighbours (Å) after each atom.
Positions (direct):
1 Be 0.2408 0.2408 0.2408  3 Ni 2.27
2 Be 0.7592 0.7592 0.7592  3 Ni 2.27
3 Ni 0.5000 0.5000 0.5000  6 Be 2.27
4 Au 0.0000 0.0000 0.0000  6 Be 2.57, 6 Au 2.74


Density functional theory data (GGA-PBE) for Be2NiAu after structural relaxation.

* crystal system: cubic
* symmetry: F-43m, No. 216

a b c (Å): 4.0440 4.0440 4.0440
angles (deg): 60.00 60.00 60.00
With the nearest neighbours (Å) after each atom.
Positions (direct):
1 Be 0.0000 0.0000 0.0000  4 Ni 2.48, 4 Be 2.48
2 Be 0.2500 0.2500 0.2500  4 Be 2.48, 4 Au 2.48
3 Ni 0.7500 0.7500 0.7500  4 Be 2.48, 4 Au 2.48
4 Au 0.5000 0.5000 0.5000  4 Be 2.48, 4 Ni 2.48


Density functional theory data (GGA-PBE) for Be2NiAu after structural relaxation.

* crystal system: monoclinic
* symmetry: Cm, No. 8

a b c (Å): 4.4519 4.4519 4.0203
angles (deg): 106.69 106.69 36.19
With the nearest neighbours (Å) after each atom.
Positions (direct):
1 Be 0.0000 0.0000 0.0000  3 Ni 2.38-2.42, 4 Au 2.44-2.45, 2 Be 2.45
2 Be 0.7350 0.7350 0.3212  4 Ni 2.36-2.53, 3 Au 2.42-2.44, 2 Be 2.45
3 Ni 0.2600 0.2600 0.8631  7 Be 2.36-2.53
4 Au 0.4844 0.4844 0.4925  7 Be 2.42-2.45, 1 Ni 2.67


Density functional theory data (GGA-PBE) for Be2NiAu2 after structural relaxation.

* crystal system: tetragonal
* symmetry: P4/mbm, No. 127
* energy above the lowest structure with this stoichiometry: 0.0000 eV per atom

a b c (Å): 6.4952 6.4952 2.9856
angles (deg): 90.00 90.00 90.00
With the nearest neighbours (Å) after each atom.
Positions (direct):
1 Be 0.1323 0.3677 0.0000  6 Au 2.38-2.45, 1 Be 2.43, 2 Ni 2.54
2 Be 0.3677 0.8677 0.0000  6 Au 2.38-2.45, 1 Be 2.43, 2 Ni 2.54
3 Be 0.6323 0.1323 0.0000  6 Au 2.38-2.45, 1 Be 2.43, 2 Ni 2.54
4 Be 0.8677 0.6323 0.0000  6 Au 2.38-2.45, 1 Be 2.43, 2 Ni 2.54
5 Ni 0.0000 0.0000 0.0000  4 Be 2.54
6 Ni 0.5000 0.5000 0.0000  4 Be 2.54
7 Au 0.1659 0.6659 0.5000  6 Be 2.38-2.45
8 Au 0.3341 0.1659 0.5000  6 Be 2.38-2.45
9 Au 0.6659 0.8341 0.5000  6 Be 2.38-2.45
10 Au 0.8341 0.3341 0.5000  6 Be 2.38-2.45


Density functional theory data (GGA-PBE) for Be2NiAu after structural relaxation.

* crystal system: monoclinic
* symmetry: Pm, No. 6

a b c (Å): 2.7602 3.6692 4.5979
angles (deg): 90.00 107.26 90.00
With the nearest neighbours (Å) after each atom.
Positions (direct):
1 Be 0.0000 0.0000 0.0000  2 Be 2.23, 2 Ni 2.31, 4 Au 2.44
2 Be 0.1419 0.5000 0.2880  2 Be 2.23, 2 Au 2.31-2.49, 4 Ni 2.37
3 Ni 0.7075 0.0000 0.4213  7 Be 2.31-2.54
4 Au 0.4085 0.5000 0.8145  7 Be 2.31-2.50


Density functional theory data (GGA-PBE) for BeNiAu2 after structural relaxation.

* crystal system: cubic
* symmetry: F-43m, No. 216

a b c (Å): 4.3402 4.3402 4.3402
angles (deg): 60.00 60.00 60.00
With the nearest neighbours (Å) after each atom.
Positions (direct):
1 Be 0.0000 0.0000 0.0000  4 Ni 2.66, 4 Au 2.66
2 Ni 0.7500 0.7500 0.7500  4 Au 2.66, 4 Be 2.66
3 Au 0.2500 0.2500 0.2500  4 Au 2.66, 4 Be 2.66
4 Au 0.5000 0.5000 0.5000  4 Au 2.66, 4 Ni 2.66


Density functional theory data (GGA-PBE) for BeNiAu after structural relaxation.

* crystal system: trigonal
* symmetry: P3m1, No. 156
* energy above the lowest structure with this stoichiometry: 0.1229 eV per atom

a b c (Å): 3.9024 3.9024 2.8231
angles (deg): 90.00 90.00 120.00
With the nearest neighbours (Å) after each atom.
Positions (direct):
1 Be 0.0000 0.0000 0.0000  3 Ni 2.25
2 Ni 0.3333 0.6667 0.0193  3 Be 2.25
3 Au 0.6667 0.3333 0.5165  6 Be 2.63-2.68, 6 Ni 2.65-2.66, 2 Au 2.82


Density functional theory data (GGA-PBE) for Be3NiAu after structural relaxation.

* crystal system: cubic
* symmetry: Pm-3m, No. 221
* energy above the lowest structure with this stoichiometry: 0.0000 eV per atom

a b c (Å): 3.9580 3.9580 3.9580
angles (deg): 90.00 90.00 90.00
With the nearest neighbours (Å) after each atom.
Positions (direct):
1 Be 0.0000 0.0000 0.5000  2 Ni 1.98
2 Be 0.0000 0.5000 0.0000  2 Ni 1.98
3 Be 0.5000 0.0000 0.0000  2 Ni 1.98
4 Ni 0.0000 0.0000 0.0000  6 Be 1.98
5 Au 0.5000 0.5000 0.5000  12 Be 2.80


Density functional theory data (GGA-PBE) for BeNiAu2 after structural relaxation.

* crystal system: monoclinic
* symmetry: Pm, No. 6

a b c (Å): 2.8054 3.2489 6.3087
angles (deg): 90.00 102.64 90.00
With the nearest neighbours (Å) after each atom.
Positions (direct):
1 Be 0.0000 0.0000 0.0000  4 Ni 2.26, 3 Au 2.34-2.41
2 Ni 0.5563 0.5000 0.1164  4 Be 2.26
3 Au 0.1937 0.0000 0.3921  1 Be 2.41
4 Au 0.8603 0.5000 0.7270  2 Be 2.34


Density functional theory data (GGA-PBE) for Be2NiAu after structural relaxation.

* crystal system: trigonal
* symmetry: R3m, No. 160

a b c (Å): 7.9106 7.9106 7.9106
angles (deg): 19.55 19.55 19.55
With the nearest neighbours (Å) after each atom.
Positions (direct):
1 Be 0.0000 0.0000 0.0000  3 Ni 2.24, 3 Be 2.35
2 Be 0.2575 0.2575 0.2575  3 Be 2.35, 3 Au 2.55
3 Ni 0.7364 0.7364 0.7364  3 Be 2.24
4 Au 0.5036 0.5036 0.5036  3 Be 2.55, 6 Au 2.69, 3 Ni 2.81


no.,formation energy from the elements (meV per atom),density of states at the Fermi level (states/eV per atom),size of the total moment (μB per cell)
1,-65,0.420,0.00
2,-234,0.435,0.00
3,32,0.214,0.00
4,4,0.291,0.00
5,-153,0.546,0.00
6,-92,0.535,0.00
7,-194,0.227,0.00
8,140,0.497,0.00
9,-48,0.504,0.00
10,358,0.290,0.00
11,-91,0.362,0.00
12,198,0.594,0.00